No. 1
GaGeP: relaxed, PBE-GGA.

Calculated values
formation energy: 0.0 eV/f.u.
ΔE to the lowest computed polymorph: 34 kJ/mol of formula units

CIF file:
```
data_GaGeP
_chemical_formula_sum 'Ga2 Ge2 P2'
_cell_length_a 5.1236
_cell_length_b 5.5486
_cell_length_c 5.7760
_cell_angle_alpha 103.80
_cell_angle_beta 100.81
_cell_angle_gamma 112.38
_symmetry_space_group_name_H-M 'P -1'
_symmetry_Int_Tables_number 2
loop_
_symmetry_equiv_pos_as_xyz
'x,y,z'
'-x,-y,-z'
loop_
_atom_site_label
_atom_site_type_symbol
_atom_site_fract_x
_atom_site_fract_y
_atom_site_fract_z
_atom_site_occupancy
Ga1 Ga 0.1671 0.3090 0.2635 1
Ge1 Ge 0.4529 0.1974 0.5966 1
P1 P 0.3273 0.0633 0.9338 1
```


No. 2
GaGeP: relaxed, PBE-GGA.

Calculated values
formation energy: 0.1 eV/f.u.
ΔE to the lowest computed polymorph: 42 kJ/mol of formula units

CIF file:
```
data_GaGeP
_chemical_formula_sum 'Ga2 Ge2 P2'
_cell_length_a 4.7894
_cell_length_b 3.6762
_cell_length_c 6.3675
_cell_angle_alpha 90.00
_cell_angle_beta 90.45
_cell_angle_gamma 90.00
_symmetry_space_group_name_H-M 'P 1 2/m 1'
_symmetry_Int_Tables_number 10
loop_
_symmetry_equiv_pos_as_xyz
'x,y,z'
'-x,-y,-z'
'-x,y,-z'
'x,-y,z'
loop_
_atom_site_label
_atom_site_type_symbol
_atom_site_fract_x
_atom_site_fract_y
_atom_site_fract_z
_atom_site_occupancy
Ga1 Ga 0.2030 0.0000 0.1634 1
Ge1 Ge 0.2028 0.5000 0.6685 1
P1 P 0.5000 0.0000 0.5000 1
P2 P 0.5000 0.5000 0.0000 1
```


No. 3
GaGe2P: relaxed, PBE-GGA.

Calculated values
formation energy: 1.1 eV/f.u.
ΔE to the lowest computed polymorph: 123 kJ/mol of formula units

CIF file:
```
data_GaGe2P
_chemical_formula_sum 'Ga3 Ge6 P3'
_cell_length_a 3.4352
_cell_length_b 3.4352
_cell_length_c 25.3229
_cell_angle_alpha 90.00
_cell_angle_beta 90.00
_cell_angle_gamma 120.00
_symmetry_space_group_name_H-M 'R -3 m'
_symmetry_Int_Tables_number 166
_symmetry_space_group_name_Hall '-R 3 2"'
loop_
_atom_site_label
_atom_site_type_symbol
_atom_site_fract_x
_atom_site_fract_y
_atom_site_fract_z
_atom_site_occupancy
Ga1 Ga 0.0000 0.0000 0.0000 1
Ge1 Ge 0.0000 0.0000 0.1058 1
P1 P 0.0000 0.0000 0.5000 1
```


No. 4
GaGeP: relaxed, PBE-GGA.

Calculated values
formation energy: 0.0 eV/f.u.
ΔE to the lowest computed polymorph: 33 kJ/mol of formula units

CIF file:
```
data_GaGeP
_chemical_formula_sum 'Ga1 Ge1 P1'
_cell_length_a 3.7985
_cell_length_b 4.3627
_cell_length_c 3.9893
_cell_angle_alpha 90.00
_cell_angle_beta 114.83
_cell_angle_gamma 90.00
_symmetry_space_group_name_H-M 'P 1 2 1'
_symmetry_Int_Tables_number 3
loop_
_symmetry_equiv_pos_as_xyz
'x,y,z'
'-x,y,-z'
loop_
_atom_site_label
_atom_site_type_symbol
_atom_site_fract_x
_atom_site_fract_y
_atom_site_fract_z
_atom_site_occupancy
Ga1 Ga 0.0000 0.0000 0.0000 1
Ge1 Ge 0.5000 0.6738 0.5000 1
P1 P 0.0000 0.3287 0.5000 1
```


No. 5
GaGeP2: relaxed, PBE-GGA.

Calculated values
formation energy: 1.4 eV/f.u.
ΔE to the lowest computed polymorph: 142 kJ/mol of formula units

CIF file:
```
data_GaGeP2
_chemical_formula_sum 'Ga3 Ge3 P6'
_cell_length_a 3.8165
_cell_length_b 3.8165
_cell_length_c 20.9024
_cell_angle_alpha 90.00
_cell_angle_beta 90.00
_cell_angle_gamma 120.00
_symmetry_space_group_name_H-M 'R -3 m'
_symmetry_Int_Tables_number 166
_symmetry_space_group_name_Hall '-R 3 2"'
loop_
_atom_site_label
_atom_site_type_symbol
_atom_site_fract_x
_atom_site_fract_y
_atom_site_fract_z
_atom_site_occupancy
Ga1 Ga 0.0000 0.0000 0.0000 1
Ge1 Ge 0.0000 0.0000 0.5000 1
P1 P 0.0000 0.0000 0.1067 1
```


No. 6
GaGeP2: relaxed, PBE-GGA.

Calculated values
formation energy: 0.2 eV/f.u.
ΔE to the lowest computed polymorph: 30 kJ/mol of formula units

CIF file:
```
data_GaGeP2
_chemical_formula_sum 'Ga2 Ge2 P4'
_cell_length_a 5.1231
_cell_length_b 5.2092
_cell_length_c 6.3264
_cell_angle_alpha 114.25
_cell_angle_beta 113.82
_cell_angle_gamma 90.14
_symmetry_space_group_name_H-M 'P -1'
_symmetry_Int_Tables_number 2
loop_
_symmetry_equiv_pos_as_xyz
'x,y,z'
'-x,-y,-z'
loop_
_atom_site_label
_atom_site_type_symbol
_atom_site_fract_x
_atom_site_fract_y
_atom_site_fract_z
_atom_site_occupancy
Ga1 Ga 0.1252 0.3753 0.2498 1
Ge1 Ge 0.3743 0.1242 0.7494 1
P1 P 0.1279 0.8778 0.2553 1
P2 P 0.3773 0.6274 0.7551 1
```


No. 7
GaGeP: relaxed, PBE-GGA.

Calculated values
formation energy: -0.2 eV/f.u.
ΔE to the lowest computed polymorph: 10 kJ/mol of formula units

CIF file:
```
data_GaGeP
_chemical_formula_sum 'Ga2 Ge2 P2'
_cell_length_a 3.9242
_cell_length_b 5.3297
_cell_length_c 7.0172
_cell_angle_alpha 68.84
_cell_angle_beta 82.86
_cell_angle_gamma 75.47
_symmetry_space_group_name_H-M 'P 1'
_symmetry_Int_Tables_number 1
loop_
_symmetry_equiv_pos_as_xyz
'x,y,z'
loop_
_atom_site_label
_atom_site_type_symbol
_atom_site_fract_x
_atom_site_fract_y
_atom_site_fract_z
_atom_site_occupancy
Ga1 Ga 0.0000 0.0000 0.0000 1
Ga2 Ga 0.2917 0.6007 0.5690 1
Ge1 Ge 0.1981 0.5203 0.2479 1
Ge2 Ge 0.7010 0.8870 0.5684 1
P1 P 0.4983 0.1406 0.7943 1
P2 P 0.7880 0.2412 0.2471 1
```


No. 8
Ga2GePPd: relaxed, PBE-GGA.

Calculated values
formation energy: 1.7 eV/f.u.

CIF file:
```
data_Ga2GePPd
_chemical_formula_sum 'Ga2 Ge1 P1 Pd1'
_cell_length_a 4.8615
_cell_length_b 4.8615
_cell_length_c 4.6632
_cell_angle_alpha 90.00
_cell_angle_beta 90.00
_cell_angle_gamma 90.00
_symmetry_space_group_name_H-M 'P 4/m m m'
_symmetry_Int_Tables_number 123
_symmetry_space_group_name_Hall '-P 4 2'
loop_
_atom_site_label
_atom_site_type_symbol
_atom_site_fract_x
_atom_site_fract_y
_atom_site_fract_z
_atom_site_occupancy
Ga1 Ga 0.0000 0.5000 0.0000 1
Ge1 Ge 0.0000 0.0000 0.5000 1
P1 P 0.5000 0.5000 0.5000 1
Pd1 Pd 0.5000 0.5000 0.0000 1
```


No. 9
Rb2GaGeP: relaxed, PBE-GGA.

Calculated values
formation energy: 2.4 eV/f.u.

CIF file:
```
data_Rb2GaGeP
_chemical_formula_sum 'Rb2 Ga1 Ge1 P1'
_cell_length_a 6.7926
_cell_length_b 6.7926
_cell_length_c 4.8724
_cell_angle_alpha 90.00
_cell_angle_beta 90.00
_cell_angle_gamma 90.00
_symmetry_space_group_name_H-M 'P 4/m m m'
_symmetry_Int_Tables_number 123
_symmetry_space_group_name_Hall '-P 4 2'
loop_
_atom_site_label
_atom_site_type_symbol
_atom_site_fract_x
_atom_site_fract_y
_atom_site_fract_z
_atom_site_occupancy
Rb1 Rb 0.0000 0.5000 0.0000 1
Ga1 Ga 0.0000 0.0000 0.5000 1
Ge1 Ge 0.0000 0.0000 0.0000 1
P1 P 0.5000 0.5000 0.5000 1
```


No. 10
GaGeP2S: relaxed, PBE-GGA.

Calculated values
formation energy from raw total energies: 0.703 eV per atom
ΔE to the lowest computed polymorph: 0 kJ/mol of formula units

CIF file:
```
data_GaGeP2S
_chemical_formula_sum 'Ga1 Ge1 P2 S1'
_cell_length_a 4.7383
_cell_length_b 4.7383
_cell_length_c 4.8034
_cell_angle_alpha 90.00
_cell_angle_beta 90.00
_cell_angle_gamma 90.00
_symmetry_space_group_name_H-M 'P 4/m m m'
_symmetry_Int_Tables_number 123
_symmetry_space_group_name_Hall '-P 4 2'
loop_
_atom_site_label
_atom_site_type_symbol
_atom_site_fract_x
_atom_site_fract_y
_atom_site_fract_z
_atom_site_occupancy
Ga1 Ga 0.0000 0.0000 0.0000 1
Ge1 Ge 0.5000 0.5000 0.5000 1
P1 P 0.0000 0.5000 0.5000 1
S1 S 0.5000 0.5000 0.0000 1
```


No. 11
GaSiGe2P: relaxed, PBE-GGA.

Calculated values
formation energy from raw total energies: 0.640 eV per atom

CIF file:
```
data_GaSiGe2P
_chemical_formula_sum 'Ga1 Si1 Ge2 P1'
_cell_length_a 4.7866
_cell_length_b 4.7866
_cell_length_c 4.6600
_cell_angle_alpha 90.00
_cell_angle_beta 90.00
_cell_angle_gamma 90.00
_symmetry_space_group_name_H-M 'P 4/m m m'
_symmetry_Int_Tables_number 123
_symmetry_space_group_name_Hall '-P 4 2'
loop_
_atom_site_label
_atom_site_type_symbol
_atom_site_fract_x
_atom_site_fract_y
_atom_site_fract_z
_atom_site_occupancy
Ga1 Ga 0.0000 0.0000 0.0000 1
Si1 Si 0.5000 0.5000 0.0000 1
Ge1 Ge 0.0000 0.5000 0.5000 1
P1 P 0.5000 0.5000 0.5000 1
```


No. 12
Sr2GaGeP: relaxed, PBE-GGA.

Calculated values
formation energy: -3.6 eV/f.u.

CIF file:
```
data_Sr2GaGeP
_chemical_formula_sum 'Sr4 Ga2 Ge2 P2'
_cell_length_a 7.5172
_cell_length_b 4.2822
_cell_length_c 9.4077
_cell_angle_alpha 90.00
_cell_angle_beta 107.47
_cell_angle_gamma 90.00
_symmetry_space_group_name_H-M 'P 1 21/m 1'
_symmetry_Int_Tables_number 11
loop_
_symmetry_equiv_pos_as_xyz
'x,y,z'
'-x,-y,-z'
'-x,y+1/2,-z'
'x,-y+1/2,z'
loop_
_atom_site_label
_atom_site_type_symbol
_atom_site_fract_x
_atom_site_fract_y
_atom_site_fract_z
_atom_site_occupancy
Sr1 Sr 0.1853 0.2500 0.4005 1
Sr2 Sr 0.2311 0.2500 0.9672 1
Ga1 Ga 0.4973 0.7500 0.2659 1
Ge1 Ge 0.3106 0.7500 0.6986 1
P1 P 0.1757 0.7500 0.1768 1
```